This record from OQMD via LeMat-Bulk describes an optimized crystal structure of LuBeTcW. The functional is PBE.

Output
- Energy above the most stable polymorph in this dataset: 32.2 meV per atom
- Total energy: -7.73 eV per atom

```
LuBeTcW
1.0
0.000 3.163 3.163
3.163 0.000 3.163
3.163 3.163 0.000
Lu Be Tc W
1 1 1 1
Cartesian
0.000 0.000 0.000 Lu
1.581 1.581 1.581 Be
3.163 3.163 3.163 Tc
4.744 4.744 4.744 W
```



This record from OQMD via LeMat-Bulk describes an optimized crystal structure of HoFeCoGe2. The functional is PBE.

Output
- Total energy: -6.39 eV per atom

```
HoFeCoGe2
1.0
-1.996 1.996 4.969
1.996 -1.996 4.969
1.996 1.996 -4.969
Ho Fe Co Ge
1 1 1 2
Cartesian
0.000 0.000 0.000 Ho
0.000 1.996 2.485 Fe
1.996 0.000 2.485 Co
0.000 0.000 3.676 Ge
0.000 0.000 6.263 Ge
```